(1)
# Be2AlCl

Crystalline Be2AlCl at its relaxed geometry (PBE, Alexandria).

Polymorph energy (0 for the lowest one) = 367 meV/atom
SG = Pmm2 (25)

a b c (Å): 2.8619 4.6976 4.5517
angles (deg): 90.00 90.00 90.00
Closest atoms and distances in Å follow each position.
Atoms (fractional coordinates):
Be (0.0000, 0.0000, 0.0000)  2 Cl 2.36
Be (0.5000, 0.5000, 0.2750)  2 Cl 2.05
Al (0.5000, 0.0000, 0.5104)  6 Be 2.58-2.73, 2 Al 2.86
Cl (0.0000, 0.5000, 0.9525)  2 Be 2.05

=====

(2)
# KP2BrCl

Crystalline KP2BrCl at its relaxed geometry (PBE, Alexandria).

Polymorph energy (0 for the lowest one) = 0 meV/atom
SG = P4/mmm (123)

a b c (Å): 4.7848 4.7848 7.4549
angles (deg): 90.00 90.00 90.00
Closest atoms and distances in Å follow each position.
Atoms (fractional coordinates):
K (0.0000, 0.0000, 0.0000)  4 Cl 3.38
P (0.0000, 0.5000, 0.5000)  2 Br 2.39
P (0.5000, 0.0000, 0.5000)  2 Br 2.39
Br (0.5000, 0.5000, 0.5000)  4 P 2.39
Cl (0.5000, 0.5000, 0.0000)  4 K 3.38, 2 Br 3.73

=====

(3)
# PrDy2Ru

Crystalline PrDy2Ru at its relaxed geometry (PBE, Alexandria).

Polymorph energy (0 for the lowest one) = 13 meV/atom
SG = Cmcm (63)

a b c (Å): 3.9244 12.2612 9.2249
angles (deg): 90.00 90.00 90.00
Closest atoms and distances in Å follow each position.
Atoms (fractional coordinates):
Pr (0.0000, 0.0738, 0.2500)  2 Ru 2.88
Pr (0.0000, 0.9262, 0.7500)  2 Ru 2.88
Pr (0.5000, 0.4262, 0.7500)  2 Ru 2.88
Pr (0.5000, 0.5738, 0.2500)  2 Ru 2.88
Dy (0.0000, 0.3538, 0.0698)  3 Ru 2.89-3.19
Dy (0.0000, 0.3538, 0.4302)  3 Ru 2.89-3.19
Dy (0.0000, 0.6462, 0.5698)  3 Ru 2.89-3.19
Dy (0.0000, 0.6462, 0.9302)  3 Ru 2.89-3.19
Dy (0.5000, 0.1462, 0.5698)  3 Ru 2.89-3.19
Dy (0.5000, 0.1462, 0.9302)  3 Ru 2.89-3.19
Dy (0.5000, 0.8538, 0.0698)  3 Ru 2.89-3.19
Dy (0.5000, 0.8538, 0.4302)  3 Ru 2.89-3.19
Ru (0.0000, 0.2538, 0.7500)  2 Pr 2.88, 6 Dy 2.89-3.19
Ru (0.0000, 0.7462, 0.2500)  2 Pr 2.88, 6 Dy 2.89-3.19
Ru (0.5000, 0.2462, 0.2500)  2 Pr 2.88, 6 Dy 2.89-3.19
Ru (0.5000, 0.7538, 0.7500)  2 Pr 2.88, 6 Dy 2.89-3.19

=====

We obtain final energy values of -2.921, -2.709, -6.068 eV per atom for the records listed above, in that order.